Computed, not measured: a relaxed PtINF2 crystal at the PBE level of DFT.

abc: 4.6064 4.6064 4.0290
angles: 90.00 90.00 90.00
Fractional positions:
Pt (0.0000, 0.0000, 0.0000)
I (0.5000, 0.5000, 0.5000)
N (0.5000, 0.5000, 0.0000)
F (0.0000, 0.5000, 0.5000)
F (0.5000, 0.0000, 0.5000)

Properties
**Crystal system**: tetragonal
**Formation energy without anion corrections**: 0.92 eV/atom
**Total DFT energy (no corrections)**: -3.02 eV per atom
**Density**: 7.26 g/cm³

Computed, not measured: a relaxed Rb2NbNiS4 crystal at the PBE level of DFT.

abc: 14.0044 12.5294 7.3994
angles: 85.17 63.06 31.77
Fractional positions:
Rb (0.0519, 0.0519, 0.6981)
Rb (0.3019, 0.3019, 0.9481)
Rb (0.6981, 0.6981, 0.0519)
Rb (0.9481, 0.9481, 0.3019)
Nb (0.1250, 0.1250, 0.1250)
Nb (0.8750, 0.8750, 0.8750)
Ni (0.3750, 0.3750, 0.3750)
Ni (0.6250, 0.6250, 0.6250)
S (0.0169, 0.3378, 0.4219)
S (0.2767, 0.5781, 0.6622)
S (0.3378, 0.0169, 0.7233)
S (0.4219, 0.7233, 0.0169)
S (0.5781, 0.2767, 0.9831)
S (0.6622, 0.9831, 0.2767)
S (0.7233, 0.4219, 0.3378)
S (0.9831, 0.6622, 0.5781)

Properties
**Crystal system**: orthorhombic
**Formation energy without anion corrections**: -1.03 eV/atom
**Total DFT energy (no corrections)**: -5.32 eV per atom
**Density**: 3.20 g/cm³